Entry 1:
DFT (PBE-GGA) results for a relaxed structure of Ba2TlGe3Au4.

Its formation energy is -4.619 eV/f.u.

The structure belongs to space group P-4m2 (No. 115); the cell edges are 4.714, 4.714 and 11.161 Å and the angles 90.00°, 90.00° and 90.00°. The asymmetric unit holds Ba at (0.000, 0.500, 0.240), Tl at (0.000, 0.000, 0.500), Ge at (0.000, 0.500, 0.882), Ge at (0.500, 0.500, 0.500), Au at (0.000, 0.000, 0.000), Au at (0.000, 0.500, 0.648) and Au at (0.500, 0.500, 0.000).


Entry 2:
DFT (PBE-GGA) results for a relaxed structure of MgAl3Ag.

Its formation energy is 2.439 eV/f.u.

The structure belongs to space group Pm-3m (No. 221); the cell edges are 4.927, 4.927 and 4.927 Å and the angles 90.00°, 90.00° and 90.00°. The asymmetric unit holds Mg at (0.000, 0.000, 0.000), Al at (0.000, 0.500, 0.500) and Ag at (0.500, 0.500, 0.500).


Entry 3:
DFT (PBE-GGA) results for a relaxed structure of ZnGe2F6.

The final energy is -163.65 eV for the cell shown.

The structure belongs to space group C2/c (No. 15); the cell edges are 9.356, 11.319 and 5.425 Å and the angles 90.00°, 102.29° and 90.00°. The asymmetric unit holds Zn at (0.000, 0.074, 0.250), Ge at (0.158, 0.375, 0.152), F at (0.091, 0.384, 0.465), F at (0.121, 0.059, 0.607) and F at (0.142, 0.205, 0.167).


Number 1: size of the total moment 0.00 μB per formula unit. Number 2: size of the total moment 0.00 μB per formula unit. Number 3: size of the total moment 0.00 μB per formula unit.